1.
Below is a relaxed Nb4AlSN2 crystal, with properties calculated at the PBE level.

* crystal system: hexagonal
* E: -0.3252 hartree per atom
* ρ: 6.9 g/cm3
* magnetization: 0.0 μB per cell

a = 3.070 Å, b = 3.070 Å, c = 13.437 Å
α = 90.00°, β = 90.00°, γ = 120.00°
Fractional coordinates of all 8 atoms:
Nb 0.000 0.000 0.135
Nb 0.000 0.000 0.865
Nb 0.333 0.667 0.335
Nb 0.333 0.667 0.665
Al 0.000 0.000 0.500
S 0.333 0.667 0.000
N 0.667 0.333 0.237
N 0.667 0.333 0.763

2.
Below is a relaxed TmCuPd crystal, with properties calculated at the PBE level.

* crystal system: cubic
* offset from the most stable computed form: 0.000 eV/atom
* ρ: 8.9 g/cm3
* calculated formation energy: -0.420 eV per atom
* magnetization: 0.0 μB per cell

a = 4.475 Å, b = 4.475 Å, c = 4.475 Å
α = 60.00°, β = 60.00°, γ = 60.00°
Fractional coordinates of all 3 atoms:
Tm 0.000 0.000 0.000
Cu 0.500 0.500 0.500
Pd 0.750 0.750 0.750

3.
Below is a relaxed NbInCuHg crystal, with properties calculated at the PBE level.

* crystal system: cubic
* offset from the most stable computed form: 0.033 eV/atom
* ρ: 10.5 g/cm3
* magnetization: 1.3 μB per cell

a = 4.730 Å, b = 4.730 Å, c = 4.730 Å
α = 60.00°, β = 60.00°, γ = 60.00°
Fractional coordinates of all 4 atoms:
Nb 0.000 0.000 0.000
In 0.500 0.500 0.500
Cu 0.750 0.750 0.750
Hg 0.250 0.250 0.250

4.
Below is a relaxed CdPdPt2S6 crystal, with properties calculated at the PBE level.

* crystal system: orthorhombic
* E: -0.1689 hartree per atom
* ρ: 6.9 g/cm3
* magnetization: 0.0 μB per cell

a = 7.438 Å, b = 7.438 Å, c = 3.683 Å
α = 90.00°, β = 90.00°, γ = 108.58°
Fractional coordinates of all 10 atoms:
Cd 0.000 0.000 0.000
Pd 0.500 0.500 0.000
Pt 0.000 0.500 0.500
Pt 0.500 0.000 0.500
S 0.164 0.836 0.500
S 0.170 0.421 0.000
S 0.421 0.170 0.000
S 0.579 0.830 0.000
S 0.830 0.579 0.000
S 0.836 0.164 0.500

5.
Below is a relaxed MgAu crystal, with properties calculated at the PBE level.

* crystal system: orthorhombic
* E: -0.1042 hartree per atom
* ρ: 10.1 g/cm3

a = 4.816 Å, b = 5.904 Å, c = 10.249 Å
α = 90.00°, β = 90.00°, γ = 90.00°
Fractional coordinates of all 16 atoms:
Mg 0.250 0.003 0.087
Mg 0.250 0.250 0.351
Mg 0.250 0.250 0.806
Mg 0.250 0.497 0.087
Mg 0.750 0.503 0.913
Mg 0.750 0.750 0.194
Mg 0.750 0.750 0.649
Mg 0.750 0.997 0.913
Au 0.250 0.509 0.583
Au 0.250 0.750 0.316
Au 0.250 0.750 0.854
Au 0.250 0.991 0.583
Au 0.750 0.009 0.417
Au 0.750 0.250 0.146
Au 0.750 0.250 0.684
Au 0.750 0.491 0.417

6.
Below is a relaxed K2PdPtO4 crystal, with properties calculated at the PBE level.

* crystal system: orthorhombic
* E: -0.1863 hartree per atom
* ρ: 4.9 g/cm3
* magnetization: 2.0 μB per cell

a = 5.998 Å, b = 6.267 Å, c = 6.267 Å
α = 40.07°, β = 90.00°, γ = 90.00°
Fractional coordinates of all 8 atoms:
K 0.000 0.000 0.000
K 0.500 0.406 0.406
Pd 0.000 0.705 0.705
Pt 0.500 0.699 0.699
O 0.247 0.592 0.592
O 0.259 0.813 0.813
O 0.741 0.813 0.813
O 0.753 0.592 0.592

7.
Below is a relaxed KTmBeTe3 crystal, with properties calculated at the PBE level.

* crystal system: orthorhombic
* E: -0.1515 hartree per atom
* ρ: 5.1 g/cm3
* magnetization: 0.0 μB per cell

a = 8.251 Å, b = 8.251 Å, c = 11.512 Å
α = 90.00°, β = 90.00°, γ = 150.24°
Fractional coordinates of all 12 atoms:
K 0.245 0.755 0.750
K 0.755 0.245 0.250
Tm 0.500 0.500 0.000
Tm 0.500 0.500 0.500
Be 0.035 0.965 0.250
Be 0.965 0.035 0.750
Te 0.124 0.876 0.074
Te 0.124 0.876 0.426
Te 0.439 0.561 0.250
Te 0.561 0.439 0.750
Te 0.876 0.124 0.574
Te 0.876 0.124 0.926

8.
Below is a relaxed GdTmZn2Ga2 crystal, with properties calculated at the PBE level.

* crystal system: trigonal
* E: -0.1299 hartree per atom
* ρ: 8.2 g/cm3
* magnetization: 0.0 μB per cell

a = 4.406 Å, b = 4.406 Å, c = 7.151 Å
α = 90.00°, β = 90.00°, γ = 120.00°
Fractional coordinates of all 6 atoms:
Gd 0.000 0.000 0.000
Tm 0.000 0.000 0.500
Zn 0.333 0.667 0.779
Zn 0.667 0.333 0.292
Ga 0.333 0.667 0.222
Ga 0.667 0.333 0.712